# BeInRuCl2

A relaxed structure of BeInRuCl2 (GGA-PBE, Alexandria via LeMat-Bulk).

Unit cell a=4.1347 b=4.1347 c=5.1335 alpha=90.00 beta=90.00 gamma=90.00
Element x y z (fractional)
Be  0.0000  0.0000  0.0000
In  0.5000  0.5000  0.5000
Ru  0.0000  0.0000  0.5000
Cl  0.0000  0.5000  0.0000
Cl  0.5000  0.0000  0.0000

Computed properties:
formation energy without anion corrections: 0.323 eV per atom
space-group type: P4/mmm